[1]
Below is a relaxed ZrAsPt crystal, with properties calculated at the PBE level.

extended XYZ file:
```
3
Lattice="0.000 3.095 3.095 3.095 0.000 3.095 3.095 3.095 0.000" Properties=species:S:1:pos:R:3 pbc="T T T"
As 0.000 0.000 0.000
Pt 1.547 1.547 1.547
Zr 4.642 4.642 4.642
```

Results
- energy (eV/atom) = -6.98
- SG = F-43m, No. 216

---

[2]
Below is a relaxed Zr3AsPt crystal, with properties calculated at the PBE level.

extended XYZ file:
```
10
Lattice="1.824 -5.931 0.000 1.824 5.931 0.000 0.000 0.000 9.827" Properties=species:S:1:pos:R:3 pbc="T T T"
As 0.000 0.000 0.000
As 0.000 0.000 4.913
Pt 1.824 -2.924 2.457
Pt 1.824 2.924 7.370
Zr 1.824 1.808 0.738
Zr 1.824 5.071 2.457
Zr 1.824 1.808 4.175
Zr 1.824 -1.808 5.651
Zr 1.824 -5.071 7.370
Zr 1.824 -1.808 9.089
```

Results
- energy (eV/atom) = -8.10
- SG = Cmcm, No. 63

---

[3]
Below is a relaxed PuAs crystal, with properties calculated at the PBE level.

extended XYZ file:
```
8
Lattice="5.779 0.000 0.000 0.000 5.205 0.000 0.000 0.000 5.747" Properties=species:S:1:pos:R:3 pbc="T T T"
As 1.445 2.602 0.042
As 1.445 0.000 1.925
As 4.334 0.000 3.821
As 4.334 2.602 5.705
Pu 4.334 0.000 0.976
Pu 0.000 2.602 2.873
Pu 2.889 2.602 2.873
Pu 1.445 0.000 4.771
```

Results
- energy (eV/atom) = -10.07
- SG = Pmma, No. 51

---

[4]
Below is a relaxed PuAs crystal, with properties calculated at the PBE level.

extended XYZ file:
```
2
Lattice="-1.737 -1.890 -2.999 3.837 0.908 -0.196 0.860 -3.295 1.578" Properties=species:S:1:pos:R:3 pbc="T T T"
As 0.766 -3.429 -0.881
Pu 2.194 -0.848 -0.736
```

Results
- energy (eV/atom) = -10.25
- SG = P-6m2, No. 187

---

[5]
Below is a relaxed PuAs crystal, with properties calculated at the PBE level.

extended XYZ file:
```
2
Lattice="4.574 -0.203 0.453 1.922 -3.394 2.441 2.379 -3.309 -2.137" Properties=species:S:1:pos:R:3 pbc="T T T"
As 0.000 0.000 0.000
Pu 2.219 -1.726 0.189
```

Results
- energy (eV/atom) = -9.87
- SG = F-43m, No. 216

---

[6]
Below is a relaxed RbPuAs crystal, with properties calculated at the PBE level.

extended XYZ file:
```
3
Lattice="-0.442 -1.558 5.029 -2.848 2.859 3.410 -4.610 -1.853 1.796" Properties=species:S:1:pos:R:3 pbc="T T T"
As 0.000 0.000 0.000
Pu -1.975 -0.138 2.559
Rb -5.926 -0.414 7.676
```

Results
- energy (eV/atom) = -6.71
- SG = F-43m, No. 216

---

[7]
Below is a relaxed Pu3AsS2 crystal, with properties calculated at the PBE level.

extended XYZ file:
```
12
Lattice="1.026 5.248 -4.473 -5.299 -4.428 -0.957 -2.462 3.595 5.463" Properties=species:S:1:pos:R:3 pbc="T T T"
As -2.241 2.089 -1.633
As -4.493 2.325 1.666
Pu 0.513 2.624 -2.237
Pu -2.702 1.465 -4.428
Pu -1.706 2.829 1.119
Pu -3.880 -0.417 2.253
Pu -5.029 1.585 -1.086
Pu -4.033 2.949 4.460
S -0.117 5.339 -2.814
S -4.314 -1.081 -0.481
S -2.421 5.496 0.514
S -6.617 -0.925 2.847
```

Results
- energy (eV/atom) = -10.84
- SG = C2/c, No. 15

---

[8]
Below is a relaxed SmPuAs crystal, with properties calculated at the PBE level.

extended XYZ file:
```
3
Lattice="0.000 3.478 3.478 3.478 0.000 3.478 3.478 3.478 0.000" Properties=species:S:1:pos:R:3 pbc="T T T"
As 0.000 0.000 0.000
Pu 1.739 1.739 1.739
Sm 5.218 5.218 5.218
```

Results
- energy (eV/atom) = -8.46
- SG = F-43m, No. 216

---

[9]
Below is a relaxed SrPuAs crystal, with properties calculated at the PBE level.

extended XYZ file:
```
3
Lattice="4.284 -1.247 -2.418 3.488 -2.858 2.328 0.767 -4.788 -1.497" Properties=species:S:1:pos:R:3 pbc="T T T"
As 4.269 -4.447 -0.793
Pu 2.135 -2.223 -0.397
Sr 0.000 0.000 0.000
```

Results
- excess energy over the best structure of this formula in the dataset (kcal/mol of atoms) = 0.000
- SG = F-43m, No. 216

---

[10]
Below is a relaxed TbPuAs crystal, with properties calculated at the PBE level.

extended XYZ file:
```
3
Lattice="0.000 3.440 3.440 3.440 0.000 3.440 3.440 3.440 0.000" Properties=species:S:1:pos:R:3 pbc="T T T"
As 0.000 0.000 0.000
Pu 1.720 1.720 1.720
Tb 5.160 5.160 5.160
```

Results
- energy (eV/atom) = -8.42
- SG = F-43m, No. 216

---

[11]
Below is a relaxed Pu5Te4As crystal, with properties calculated at the PBE level.

extended XYZ file:
```
10
Lattice="-4.898 4.898 3.098 4.898 -4.898 3.098 4.898 4.898 -3.098" Properties=species:S:1:pos:R:3 pbc="T T T"
As 0.000 0.000 0.010
Pu 0.000 0.000 3.109
Pu 3.944 -2.127 3.104
Pu 2.772 0.955 0.005
Pu 2.127 3.944 3.104
Pu 0.955 7.025 0.005
Te -0.916 2.977 3.104
Te 2.977 0.916 3.104
Te 1.921 3.982 0.005
Te 5.814 1.921 0.005
```

Results
- energy (eV/atom) = -9.97
- SG = I4/m, No. 87

---

[12]
Below is a relaxed PuTeAs crystal, with properties calculated at the PBE level.

extended XYZ file:
```
3
Lattice="0.000 3.481 3.481 3.481 0.000 3.481 3.481 3.481 0.000" Properties=species:S:1:pos:R:3 pbc="T T T"
As 0.000 0.000 0.000
Pu 1.740 1.740 1.740
Te 5.221 5.221 5.221
```

Results
- energy (eV/atom) = -7.66
- SG = F-43m, No. 216